No. 1
DFT (PBE-GGA) results for a relaxed structure of FePbSe.

a b c (Å): 7.5682 7.5682 3.7926
angles (deg): 90.00 90.00 120.00
With the nearest neighbours (Å) after each atom.
Sites, in units of the cell vectors:
1 Fe 0.0000 0.0000 0.0000  3 Pb 2.79, 6 Se 3.04
2 Fe 0.6667 0.3333 0.0000  3 Pb 2.79, 6 Se 3.04
3 Fe 0.3333 0.6667 0.5000  6 Pb 2.80, 3 Se 2.84
4 Pb 0.0617 0.3951 0.0000  4 Fe 2.79-2.80
5 Pb 0.6049 0.6667 0.0000  4 Fe 2.79-2.80
6 Pb 0.3333 0.9383 0.0000  4 Fe 2.79-2.80
7 Se 0.7082 0.0414 0.5000  5 Fe 2.84-3.04, 4 Pb 3.17
8 Se 0.3332 0.2918 0.5000  5 Fe 2.84-3.04, 4 Pb 3.17
9 Se 0.9586 0.6668 0.5000  5 Fe 2.84-3.04, 4 Pb 3.17

Output
Energy   -43.6 eV for the cell shown

***

No. 2
DFT (PBE-GGA) results for a relaxed structure of Fe2PbSe3.

a b c (Å): 7.2930 7.2930 9.5185
angles (deg): 90.00 90.00 28.91
With the nearest neighbours (Å) after each atom.
Sites, in units of the cell vectors:
1 Fe 0.0000 0.0000 0.0000  6 Se 2.56-2.57
2 Fe 0.4588 0.4588 0.2500  4 Se 2.39
3 Fe 0.0000 0.0000 0.5000  6 Se 2.56-2.57
4 Fe 0.5412 0.5412 0.7500  4 Se 2.39
5 Pb 0.7725 0.7725 0.2500  8 Se 3.11-3.41, 2 Fe 3.20
6 Pb 0.2275 0.2275 0.7500  8 Se 3.11-3.41, 2 Fe 3.20
7 Se 0.3743 0.3743 0.0322  3 Fe 2.39-2.56
8 Se 0.0682 0.0682 0.2500  4 Fe 2.39-2.57
9 Se 0.3743 0.3743 0.4678  3 Fe 2.39-2.56
10 Se 0.6257 0.6257 0.5322  3 Fe 2.39-2.56
11 Se 0.9318 0.9318 0.7500  4 Fe 2.39-2.57
12 Se 0.6257 0.6257 0.9678  3 Fe 2.39-2.56

Output
Relative energy among the computed polymorphs   75 meV per atom

***

No. 3
DFT (PBE-GGA) results for a relaxed structure of Fe2PbSe3.

a b c (Å): 5.0008 8.7349 13.0751
angles (deg): 90.00 90.62 90.00
With the nearest neighbours (Å) after each atom.
Sites, in units of the cell vectors:
1 Fe 0.0068 0.3602 0.0236  4 Se 2.36-2.43, 3 Fe 2.44-2.56
2 Fe 0.4948 0.3600 0.0239  4 Se 2.36-2.43, 3 Fe 2.44-2.56
3 Fe 0.5052 0.8600 0.4761  4 Se 2.36-2.43, 3 Fe 2.44-2.56
4 Fe 0.9932 0.8602 0.4764  4 Se 2.36-2.43, 3 Fe 2.44-2.56
5 Fe 0.0068 0.1398 0.5236  4 Se 2.36-2.43, 3 Fe 2.44-2.56
6 Fe 0.4948 0.1400 0.5239  4 Se 2.36-2.43, 3 Fe 2.44-2.56
7 Fe 0.5052 0.6400 0.9761  4 Se 2.36-2.43, 3 Fe 2.44-2.56
8 Fe 0.9932 0.6398 0.9764  4 Se 2.36-2.43, 3 Fe 2.44-2.56
9 Pb 0.2541 0.0690 0.1270  3 Se 2.85-3.12, 2 Fe 3.12-3.13
10 Pb 0.7459 0.5690 0.3730  3 Se 2.85-3.12, 2 Fe 3.12-3.13
11 Pb 0.2541 0.4310 0.6270  3 Se 2.85-3.12, 2 Fe 3.12-3.13
12 Pb 0.7459 0.9310 0.8730  3 Se 2.85-3.12, 2 Fe 3.12-3.13
13 Se 0.7519 0.8251 0.0793  2 Fe 2.43
14 Se 0.2539 0.5485 0.1151  4 Fe 2.36-2.37
15 Se 0.7555 0.2743 0.1650  2 Fe 2.37
16 Se 0.2445 0.7743 0.3350  2 Fe 2.37
17 Se 0.7461 0.0485 0.3849  4 Fe 2.36-2.37
18 Se 0.2481 0.3251 0.4207  2 Fe 2.43
19 Se 0.7519 0.6749 0.5793  2 Fe 2.43
20 Se 0.2539 0.9515 0.6151  4 Fe 2.36-2.37
21 Se 0.7555 0.2257 0.6650  2 Fe 2.37
22 Se 0.2445 0.7257 0.8350  2 Fe 2.37
23 Se 0.7461 0.4515 0.8849  4 Fe 2.36-2.37
24 Se 0.2481 0.1749 0.9207  2 Fe 2.43

Output
Relative energy among the computed polymorphs   0 meV per atom

***

No. 4
DFT (PBE-GGA) results for a relaxed structure of FePb2Se3.

a b c (Å): 8.7273 4.2371 17.2484
angles (deg): 90.00 90.25 90.00
With the nearest neighbours (Å) after each atom.
Sites, in units of the cell vectors:
1 Fe 0.3690 0.2500 0.1393  4 Se 2.43-2.48
2 Fe 0.8639 0.2500 0.3624  4 Se 2.43-2.48
3 Fe 0.1361 0.7500 0.6376  4 Se 2.43-2.48
4 Fe 0.6310 0.7500 0.8607  4 Se 2.43-2.48
5 Pb 0.7424 0.2500 0.0277  5 Se 2.99-3.28
6 Pb 0.0777 0.7500 0.2207  7 Se 3.10-3.34
7 Pb 0.5830 0.7500 0.2861  7 Se 3.12-3.30, 2 Fe 3.49
8 Pb 0.2434 0.2500 0.4657  7 Se 3.00-3.36
9 Pb 0.7566 0.7500 0.5343  7 Se 3.00-3.36
10 Pb 0.4170 0.2500 0.7139  7 Se 3.12-3.30, 2 Fe 3.49
11 Pb 0.9223 0.2500 0.7793  7 Se 3.10-3.34
12 Pb 0.2576 0.7500 0.9723  5 Se 2.99-3.28
13 Se 0.1223 0.2500 0.0730  1 Fe 2.43
14 Se 0.4981 0.7500 0.1025  2 Fe 2.48
15 Se 0.8178 0.2500 0.2231  1 Fe 2.43
16 Se 0.3205 0.2500 0.2781  1 Fe 2.43
17 Se 0.9941 0.7500 0.3990  2 Fe 2.48
18 Se 0.6218 0.2500 0.4314  1 Fe 2.43
19 Se 0.3782 0.7500 0.5686  1 Fe 2.43
20 Se 0.0059 0.2500 0.6010  2 Fe 2.48
21 Se 0.6795 0.7500 0.7219  1 Fe 2.43
22 Se 0.1822 0.7500 0.7769  1 Fe 2.43
23 Se 0.5019 0.2500 0.8975  2 Fe 2.48
24 Se 0.8777 0.7500 0.9270  1 Fe 2.43

Output
Energy   -112.7 eV for the cell shown